Record 1
Density functional theory data (SCAN) for a crystal of Ba2V3P6HO22 relaxed with PBEsol.

Lattice parameters (Å, degrees): 4.866 7.878 11.312 88.94 89.19 87.19
Sites, in units of the cell vectors:
Ba1 0.234 0.006 0.176
Ba2 0.766 0.994 0.824
V1 0.216 0.493 0.202
V2 0.500 0.000 0.500
V3 0.784 0.507 0.798
P1 0.028 0.756 0.425
P2 0.267 0.698 0.657
P3 0.317 0.295 0.948
P4 0.683 0.705 0.052
P5 0.733 0.302 0.343
P6 0.972 0.244 0.575
H1 0.000 0.500 0.000
O1 0.010 0.697 0.738
O2 0.038 0.655 0.313
O3 0.089 0.434 0.912
O4 0.176 0.644 0.528
O5 0.198 0.915 0.407
O6 0.231 0.112 0.928
O7 0.266 0.200 0.535
O8 0.362 0.320 0.082
O9 0.366 0.881 0.651
O10 0.419 0.679 0.126
O11 0.489 0.566 0.691
O12 0.511 0.434 0.309
O13 0.581 0.321 0.874
O14 0.634 0.119 0.349
O15 0.638 0.680 0.918
O16 0.734 0.800 0.465
O17 0.769 0.888 0.072
O18 0.802 0.085 0.593
O19 0.824 0.356 0.472
O20 0.911 0.566 0.088
O21 0.962 0.345 0.687
O22 0.990 0.303 0.262

## Properties
DFT total energy in eV per atom: -12.53

Record 2
Density functional theory data (SCAN) for a crystal of GaP2CCl relaxed with PBEsol.

Lattice parameters (Å, degrees): 4.885 4.885 3.683 90.00 90.00 90.00
Sites, in units of the cell vectors:
Ga1 0.000 0.000 0.000
P1 0.000 0.500 0.000
P2 0.500 0.000 0.000
C1 0.000 0.000 0.500
Cl1 0.500 0.500 0.500

## Properties
Raw formation energy in eV per atom: 1.638

Record 3
Density functional theory data (SCAN) for a crystal of RbAg3O relaxed with PBEsol.

Lattice parameters (Å, degrees): 5.835 5.835 5.835 90.00 90.00 90.00
Sites, in units of the cell vectors:
Rb1 0.000 0.000 0.000
Ag1 0.000 0.000 0.500
Ag2 0.000 0.500 0.000
Ag3 0.500 0.000 0.000
O1 0.500 0.500 0.500

## Properties
Raw formation energy in eV per atom: 1.809

Record 4
Density functional theory data (SCAN) for a crystal of Rb2AgBrO relaxed with PBEsol.

Lattice parameters (Å, degrees): 5.764 5.764 4.037 90.00 90.00 90.00
Sites, in units of the cell vectors:
Rb1 0.000 0.500 0.000
Rb2 0.500 0.000 0.000
Ag1 0.000 0.000 0.500
Br1 0.500 0.500 0.500
O1 0.000 0.000 0.000

## Properties
Raw formation energy in eV per atom: -1.255

| no. | calculated volume (Å³/atom) | magnetization (μB/f.u.) |
| --- | --- | --- |
| 1 | 12.7 | 6.0 |
| 2 | 17.6 | 0.0 |
| 3 | 39.7 | 1.6 |
| 4 | 26.8 | 0.0 |